No. 1
First-principles (PBE) data for AuSe2BrN after structural relaxation, as listed in Alexandria.

a = 5.1035 Å, b = 5.1035 Å, c = 5.1196 Å
α = 90.00°, β = 90.00°, γ = 90.00°
Fractional positions:
1 Au 0.0000 0.0000 0.0000
2 Se 0.0000 0.5000 0.0000
3 Se 0.5000 0.0000 0.0000
4 Br 0.0000 0.0000 0.5000
5 N 0.5000 0.5000 0.5000

Results
Magnetization: 0.0 μB/cell
E_form (uncorrected): 178 kJ/mol of atoms
Energy above the most stable polymorph in this dataset: 0.697 eV/atom

***

No. 2
First-principles (PBE) data for KHgIN2 after structural relaxation, as listed in Alexandria.

a = 5.5460 Å, b = 5.5460 Å, c = 6.8307 Å
α = 90.00°, β = 90.00°, γ = 90.00°
Each line ends with the local moment (μB).
Fractional positions:
1 I 0.0000 0.0000 0.5000  0.07
2 K 0.0000 0.0000 0.0000  0.03
3 Hg 0.5000 0.5000 0.5000  0.03
4 N 0.0000 0.5000 0.0000  1.76
5 N 0.5000 0.0000 0.0000  1.76

Results
Magnetization: 5.6 μB/cell
E_form (uncorrected): 157 kJ/mol of atoms
Energy above the most stable polymorph in this dataset: 0.448 eV/atom

***

No. 3
First-principles (PBE) data for BaHgN3 after structural relaxation, as listed in Alexandria.

a = 5.2221 Å, b = 5.2221 Å, c = 5.2221 Å
α = 90.00°, β = 90.00°, γ = 90.00°
Each line ends with the local moment (μB).
Fractional positions:
1 N 0.0000 0.5000 0.0000  1.48
2 N 0.0000 0.0000 0.5000  1.67
3 N 0.5000 0.0000 0.0000  1.23
4 Hg 0.5000 0.5000 0.5000  0.14
5 Ba 0.0000 0.0000 0.0000  0.12

Results
Magnetization: 7.0 μB/cell
E_form (uncorrected): 200 kJ/mol of atoms

***

No. 4
First-principles (PBE) data for Th4SbCSe2 after structural relaxation, as listed in Alexandria.

a = 4.0948 Å, b = 7.4968 Å, c = 7.2918 Å
α = 108.66°, β = 90.00°, γ = 90.00°
Fractional positions:
1 Th 0.5000 0.2927 0.2309
2 Th 0.5000 0.7073 0.7691
3 Th 0.0000 0.2944 0.7841
4 Th 0.0000 0.7056 0.2159
5 Sb 0.0000 0.0000 0.0000
6 C 0.5000 0.5000 0.0000
7 Se 0.5000 0.0000 0.5000
8 Se 0.0000 0.5000 0.5000

Results
Magnetization: 0.0 μB/cell
E_form (uncorrected): -100 kJ/mol of atoms

***

No. 5
First-principles (PBE) data for Mg3SnPb after structural relaxation, as listed in Alexandria.

a = 5.3666 Å, b = 5.3666 Å, c = 5.3666 Å
α = 90.00°, β = 90.00°, γ = 90.00°
Fractional positions:
1 Pb 0.5000 0.5000 0.5000
2 Mg 0.0000 0.5000 0.0000
3 Mg 0.0000 0.0000 0.5000
4 Mg 0.5000 0.0000 0.0000
5 Sn 0.0000 0.0000 0.0000

Results
Magnetization: 0.0 μB/cell
Calculated formation energy: 0.28 eV per atom
Energy above the most stable polymorph in this dataset: 0.326 eV/atom

***

No. 6
First-principles (PBE) data for Cd4MoOs after structural relaxation, as listed in Alexandria.

a = 5.4235 Å, b = 5.4235 Å, c = 5.4235 Å
α = 60.00°, β = 60.00°, γ = 60.00°
Each line ends with the local moment (μB).
Fractional positions:
1 Cd 0.8754 0.3749 0.3749  -0.01
2 Cd 0.3749 0.3749 0.8754  -0.01
3 Cd 0.3749 0.8754 0.3749  -0.01
4 Cd 0.3749 0.3749 0.3749  -0.01
5 Mo 0.7500 0.7500 0.7500  1.94
6 Os 0.0000 0.0000 0.0000  0.06

Results
Magnetization: 2.1 μB/cell
Calculated formation energy: 0.87 eV per atom